Entry 1:
Density functional theory data (SCAN) for a crystal of Y2InAg relaxed with PBEsol.

Results
**DFT formation energy**: -0.514 eV/atom
**DOS(E_F)**: 3.1 states/eV/cell

abc: 3.663 4.718 6.055
angles: 90.00 107.71 90.00
Space group Pm (No. 6)
Inequivalent atoms, fractional coordinates:
Y1 0.000 0.000 0.000 (multiplicity 1)
Y2 0.307 0.500 0.613 (multiplicity 1)
In1 0.728 0.000 0.454 (multiplicity 1)
Ag1 0.577 0.500 0.153 (multiplicity 1)



Entry 2:
Density functional theory data (SCAN) for a crystal of TeP2Cl relaxed with PBEsol.

Results
**Energy relative to the elements, uncorrected**: 0.522 eV/atom
**Polymorph energy (0 for the lowest one)**: 0.074 eV per atom
**DOS(E_F)**: 7.2 states/eV/cell

abc: 3.8094 3.8094 20.0348
angles: 90.00 90.00 120.00
Space group R-3m (No. 166, hexagonal axes)
Inequivalent atoms, fractional coordinates:
Te1 0.0000 0.0000 0.0000 (multiplicity 3)
P1 0.0000 0.0000 0.2542 (multiplicity 6)
Cl1 0.0000 0.0000 0.5000 (multiplicity 3)



Entry 3:
Density functional theory data (SCAN) for a crystal of LiTcHg2 relaxed with PBEsol.

Results
**DFT formation energy**: 0.267 eV/atom
**Polymorph energy (0 for the lowest one)**: 0.163 eV per atom
**DOS(E_F)**: 5.5 states/eV/cell

abc: 2.9174 2.9174 27.8735
angles: 90.00 90.00 120.00
Space group R-3m (No. 166, hexagonal axes)
Inequivalent atoms, fractional coordinates:
Li1 0.0000 0.0000 0.0000 (multiplicity 3)
Tc1 0.0000 0.0000 0.5000 (multiplicity 3)
Hg1 0.0000 0.0000 0.2512 (multiplicity 6)



Entry 4:
Density functional theory data (SCAN) for a crystal of CaIn2Ir2 relaxed with PBEsol.

Results
**DFT formation energy**: -0.338 eV/atom
**DOS(E_F)**: 2.3 states/eV/cell

abc: 7.792 7.792 3.090
angles: 90.00 90.00 90.00
Space group P4/mbm (No. 127)
Inequivalent atoms, fractional coordinates:
Ca1 0.000 0.000 0.000 (multiplicity 2)
In1 0.153 0.347 0.500 (multiplicity 4)
Ir1 0.143 0.643 0.000 (multiplicity 4)



Across the entries above, ρ takes the values 6.7; 4.5; 12.3; 11.6 g/cm³, respectively.
Across the entries above, E takes the values -30.624; -15.984; -43.179; -44.064 eV per atom, respectively.